Below is crystalline LaLuMgCd at its relaxed geometry, with properties calculated at the PBE level.

The structure belongs to space group F-43m (No. 216); the cell edges are 7.657, 7.657 and 7.657 Å and the angles 90.00°, 90.00° and 90.00°. The asymmetric unit holds La at (0.000, 0.000, 0.000), Lu at (0.000, 0.000, 0.500), Mg at (0.250, 0.250, 0.250) and Cd at (0.250, 0.250, 0.750).

The value obtained for the energy relative to the elements is -0.187 eV per atom.

Below is crystalline Tb2Cd2Hg at its relaxed geometry, with properties calculated at the PBE level.

The structure belongs to space group Ibam (No. 72); the cell edges are 6.348, 14.351 and 5.889 Å and the angles 90.00°, 90.00° and 90.00°. The asymmetric unit holds Tb at (0.174, 0.176, 0.000), Cd at (0.142, 0.402, 0.000) and Hg at (0.000, 0.000, 0.250).

The value obtained for the energy relative to the elements is -0.174 eV per atom. For the excess energy over the best structure of this formula in the dataset, the calculation gives 2.87 kcal/mol of atoms.

Below is crystalline LaY3Pd12 at its relaxed geometry, with properties calculated at the PBE level.

The structure belongs to space group P4/mmm (No. 123); the cell edges are 4.156, 4.156 and 16.659 Å and the angles 90.00°, 90.00° and 90.00°. The asymmetric unit holds La at (0.000, 0.000, 0.000), Y at (0.000, 0.000, 0.254), Y at (0.000, 0.000, 0.500), Pd at (0.000, 0.500, 0.129), Pd at (0.000, 0.500, 0.376), Pd at (0.500, 0.500, 0.000), Pd at (0.500, 0.500, 0.252) and Pd at (0.500, 0.500, 0.500).

The value obtained for the energy relative to the elements is -0.832 eV per atom.